# 1
Entry from the Alexandria database: a relaxed structure of SbAs3 (GGA-PBE).

a b c (Å): 5.727 3.916 4.369
angles (deg): 90.00 90.00 90.00
Sites, in units of the cell vectors:
As 0.000 0.500 0.276
As 0.000 0.000 0.901
Sb 0.500 0.000 0.789
As 0.500 0.500 0.368

**Formation energy without anion corrections**: 3 kJ per mole of atoms
**Calculated density**: 5.9 g/cm3
**Size of the total moment**: 0.00 Bohr magnetons per cell
**Space-group type**: Pmm2, No. 25
**Offset from the most stable computed form**: 24.7 meV/atom


# 2
Entry from the Alexandria database: a relaxed structure of SbAs (GGA-PBE).

a b c (Å): 7.787 7.787 7.787
angles (deg): 30.56 30.56 30.56
Sites, in units of the cell vectors:
Sb 0.265 0.265 0.265
As 0.994 0.994 0.994
As 0.756 0.756 0.756
Sb 0.485 0.485 0.485

**Formation energy without anion corrections**: -1 kJ per mole of atoms
**Calculated density**: 6.0 g/cm3
**Size of the total moment**: 0.00 Bohr magnetons per cell
**Space-group type**: R-3m, No. 166
**Offset from the most stable computed form**: 0.0 meV/atom


# 3
Entry from the Alexandria database: a relaxed structure of SbAs2 (GGA-PBE).

a b c (Å): 6.022 6.022 5.067
angles (deg): 90.00 90.00 130.10
Sites, in units of the cell vectors:
As 0.029 0.441 0.250
Sb 0.673 0.673 0.250
As 0.559 0.971 0.750
Sb 0.327 0.327 0.750
As 0.971 0.559 0.750
As 0.441 0.029 0.250

**Formation energy without anion corrections**: 28 kJ per mole of atoms
**Calculated density**: 6.4 g/cm3
**Size of the total moment**: 0.00 Bohr magnetons per cell
**Space-group type**: Cmcm, No. 63
**Offset from the most stable computed form**: 259.1 meV/atom


# 4
Entry from the Alexandria database: a relaxed structure of SbAs3 (GGA-PBE).

a b c (Å): 6.380 6.380 4.175
angles (deg): 107.85 107.85 35.83
Sites, in units of the cell vectors:
As 0.256 0.256 0.308
As 0.500 0.500 0.500
Sb 0.000 0.000 0.000
As 0.744 0.744 0.692

**Formation energy without anion corrections**: 8 kJ per mole of atoms
**Calculated density**: 6.1 g/cm3
**Size of the total moment**: 0.00 Bohr magnetons per cell
**Space-group type**: C2/m, No. 12
**Offset from the most stable computed form**: 77.1 meV/atom


# 5
Entry from the Alexandria database: a relaxed structure of SbAs2 (GGA-PBE).

a b c (Å): 7.026 7.026 5.996
angles (deg): 72.59 72.59 33.21
Sites, in units of the cell vectors:
Sb 0.031 0.031 0.240
As 0.385 0.385 0.882
As 0.708 0.708 0.595
Sb 0.692 0.692 0.149
As 0.337 0.337 0.506
As 0.014 0.014 0.794

**Formation energy without anion corrections**: 3 kJ per mole of atoms
**Calculated density**: 5.9 g/cm3
**Size of the total moment**: 0.00 Bohr magnetons per cell
**Space-group type**: C2/m, No. 12
**Offset from the most stable computed form**: 0.0 meV/atom


# 6
Entry from the Alexandria database: a relaxed structure of Sb7As6 (GGA-PBE).

a b c (Å): 9.549 9.549 9.549
angles (deg): 44.01 44.01 44.01
Sites, in units of the cell vectors:
Sb 0.423 0.423 0.913
Sb 0.577 0.577 0.087
As 0.183 0.183 0.183
Sb 0.087 0.577 0.577
Sb 0.500 0.500 0.500
Sb 0.423 0.913 0.423
As 0.673 0.673 0.673
As 0.089 0.089 0.089
As 0.327 0.327 0.327
Sb 0.577 0.087 0.577
Sb 0.913 0.423 0.423
As 0.911 0.911 0.911
As 0.817 0.817 0.817

**Formation energy without anion corrections**: 33 kJ per mole of atoms
**Calculated density**: 5.7 g/cm3
**Size of the total moment**: 0.00 Bohr magnetons per cell
**Space-group type**: R-3m, No. 166


# 7
Entry from the Alexandria database: a relaxed structure of Sb5As (GGA-PBE).

a b c (Å): 6.187 6.187 6.187
angles (deg): 60.00 60.00 60.00
Sites, in units of the cell vectors:
Sb 0.626 0.626 0.123
As 0.000 0.000 0.000
Sb 0.123 0.626 0.626
Sb 0.250 0.250 0.250
Sb 0.626 0.626 0.626
Sb 0.626 0.123 0.626

**Formation energy without anion corrections**: 56 kJ per mole of atoms
**Calculated density**: 6.8 g/cm3
**Size of the total moment**: 0.00 Bohr magnetons per cell
**Space-group type**: F-43m, No. 216
**Offset from the most stable computed form**: 387.0 meV/atom


# 8
Entry from the Alexandria database: a relaxed structure of SbAs2 (GGA-PBE).

a b c (Å): 5.963 5.963 5.963
angles (deg): 145.69 145.69 49.31
Sites, in units of the cell vectors:
As 0.699 0.699 0.000
Sb 0.000 0.000 0.000
As 0.301 0.301 0.000

**Formation energy without anion corrections**: 29 kJ per mole of atoms
**Calculated density**: 6.7 g/cm3
**Size of the total moment**: 0.00 Bohr magnetons per cell
**Space-group type**: I4/mmm, No. 139
**Offset from the most stable computed form**: 269.4 meV/atom